[1]
VASP calculation (PBE) on a geometry-optimized CsSrErF6 structure.

Cell: 8.2091 8.2131 11.2958 Å, 90.00 90.00 90.00°
Last column: nearest neighbours and their distance in Å.
Space group Imma (No. 74)
One atom of each set of equivalent atoms:
Cs  0.0000  0.2500  0.1070  9 F 3.23-3.52
Sr  0.0000  0.0000  0.5000  6 F 2.38-2.60
Er  0.2500  0.2500  0.7500  6 F 2.14-2.16
F  0.0000  0.2500  0.3936  2 Sr 2.38
F  0.0000  0.2500  0.6898  2 Er 2.16
F  0.2350  0.0652  0.8837  1 Er 2.14

Output
Formation energy (no corrections), eV per atom: -3.74
Energy, eV/cell: -207.8
Magnetic moment, μB/f.u.: 0.150
N(E_F), states/eV/f.u.: 0.0

[2]
VASP calculation (PBE) on a geometry-optimized FeTcAu2 structure.

Cell: 6.2672 6.2672 6.2672 Å, 90.00 90.00 90.00°
Last column: nearest neighbours and their distance in Å.
Space group Fm-3m (No. 225)
One atom of each set of equivalent atoms:
Fe  0.0000  0.0000  0.0000  8 Au 2.71
Tc  0.0000  0.0000  0.5000  8 Au 2.71
Au  0.2500  0.2500  0.2500  4 Fe 2.71, 4 Tc 2.71

Output
Energy, eV/cell: -90.9
Formation enthalpy at 0 K, eV/atom: 0.66
Magnetic moment, μB/f.u.: 0.001
N(E_F), states/eV/f.u.: 5.6

[3]
VASP calculation (PBE) on a geometry-optimized Y2MgTa structure.

Cell: 3.2428 3.2412 9.7454 Å, 90.00 90.06 90.00°
Last column: nearest neighbours and their distance in Å.
Space group P2/m (No. 10)
One atom of each set of equivalent atoms:
Y  0.9999  0.0000  0.2291  4 Ta 3.20, 4 Y 3.24, 4 Mg 3.50
Mg  0.5000  0.5000  0.5000  4 Mg 3.24, 8 Y 3.50
Ta  0.5000  0.5000  0.0000  8 Y 3.20, 4 Ta 3.24

Output
Energy, eV/cell: -25.7
Formation enthalpy at 0 K, eV/atom: 0.18
Magnetic moment, μB/f.u.: 0.000
N(E_F), states/eV/f.u.: 5.3

[4]
VASP calculation (PBE) on a geometry-optimized SrLi2GePd4 structure.

Cell: 4.3463 4.3463 26.1723 Å, 90.00 90.00 120.00°
Last column: nearest neighbours and their distance in Å.
Space group R-3m (No. 166, hexagonal axes)
One atom of each set of equivalent atoms:
Sr  0.0000  0.0000  0.0000  8 Pd 3.15-3.51
Li  0.0000  0.0000  0.2356  7 Pd 2.59-2.68
Ge  0.0000  0.0000  0.5000  8 Pd 2.46-2.65
Pd  0.0000  0.0000  0.1341  3 Ge 2.65, 4 Li 2.65-2.68
Pd  0.0000  0.0000  0.4059  1 Ge 2.46, 3 Li 2.59

Output
Energy, eV/cell: -104.8
Formation enthalpy at 0 K, eV/atom: -0.50
Magnetic moment, μB/f.u.: 0.000
N(E_F), states/eV/f.u.: 4.6

[5]
VASP calculation (PBE) on a geometry-optimized Sr2CrNi structure.

Cell: 3.7470 3.7470 7.9454 Å, 90.00 90.00 90.00°
Last column: nearest neighbours and their distance in Å.
Space group P4/mmm (No. 123)
One atom of each set of equivalent atoms:
Sr  0.0000  0.0000  0.2211  4 Ni 3.18, 4 Cr 3.45, 1 Sr 3.51
Cr  0.5000  0.5000  0.5000  8 Sr 3.45, 4 Cr 3.75
Ni  0.5000  0.5000  0.0000  8 Sr 3.18

Output
Energy, eV/cell: -16.8
Formation enthalpy at 0 K, eV/atom: 0.50
Magnetic moment, μB/f.u.: 4.927
N(E_F), states/eV/f.u.: 2.0

[6]
VASP calculation (PBE) on a geometry-optimized TaTiCrCu structure.

Cell: 6.1635 6.1635 6.1635 Å, 90.00 90.00 90.00°
Last column: nearest neighbours and their distance in Å.
Space group F-43m (No. 216)
One atom of each set of equivalent atoms:
Ta  0.0000  0.0000  0.0000  4 Cu 2.67, 4 Cr 2.67
Ti  0.0000  0.0000  0.5000  4 Cr 2.67, 4 Cu 2.67
Cr  0.2500  0.2500  0.7500  4 Ta 2.67, 4 Ti 2.67
Cu  0.2500  0.2500  0.2500  4 Ti 2.67, 4 Ta 2.67

Output
Energy, eV/cell: -133.0
Formation enthalpy at 0 K, eV/atom: 0.05
Magnetic moment, μB/f.u.: 0.000
N(E_F), states/eV/f.u.: 4.5

[7]
VASP calculation (PBE) on a geometry-optimized InAg2Ge structure.

Cell: 4.5903 4.5903 14.6012 Å, 90.00 90.00 120.00°
Last column: nearest neighbours and their distance in Å.
Space group R3m (No. 160, hexagonal axes)
One atom of each set of equivalent atoms:
In  0.0000  0.0000  0.0000  6 Ag 2.83-2.86, 1 Ge 2.94
Ag  0.0000  0.0000  0.4070  1 Ag 2.79, 3 In 2.86, 1 Ge 3.00
Ag  0.0000  0.0000  0.5979  1 Ag 2.79, 3 Ge 2.81, 3 In 2.83
Ge  0.0000  0.0000  0.2013  4 Ag 2.81-3.00, 1 In 2.94

Output
Energy, eV/cell: -36.9
Formation enthalpy at 0 K, eV/atom: 0.19
Magnetic moment, μB/f.u.: 0.000
N(E_F), states/eV/f.u.: 1.3

[8]
VASP calculation (PBE) on a geometry-optimized Cu3OsCl2F6 structure.

Cell: 13.2093 6.2146 4.7595 Å, 90.00 97.30 90.00°
Last column: nearest neighbours and their distance in Å.
Space group C2/m (No. 12)
One atom of each set of equivalent atoms:
Cu  0.0000  0.0000  0.0000  4 F 2.26, 2 Cl 2.43
Cu  0.2500  0.2500  0.5000  2 Cl 2.19, 2 F 2.35
Os  0.0000  0.5000  0.5000  6 F 1.95-1.96
Cl  0.1768  0.0000  0.2190  3 Cu 2.19-2.43
F  0.0588  0.2719  0.7504  1 Os 1.95
F  0.1251  0.5000  0.3200  1 Os 1.96

Output
Formation energy (no corrections), eV per atom: -1.20
Energy, eV/cell: -105.6
Magnetic moment, μB/f.u.: 3.049
N(E_F), states/eV/f.u.: 2.8

[9]
VASP calculation (PBE) on a geometry-optimized Ba2LiAu structure.

Cell: 4.7879 4.7879 26.8414 Å, 90.00 90.00 120.00°
Last column: nearest neighbours and their distance in Å.
Space group R3m (No. 160, hexagonal axes)
One atom of each set of equivalent atoms:
Ba  0.0000  0.0000  0.0000  3 Au 3.29
Ba  0.0000  0.0000  0.1985  3 Au 3.32
Li  0.0000  0.0000  0.7644  6 Ba 3.81-3.87
Au  0.0000  0.0000  0.6001  6 Ba 3.29-3.32

Output
Energy, eV/cell: -30.6
Formation enthalpy at 0 K, eV/atom: -0.29
Magnetic moment, μB/f.u.: 0.000
N(E_F), states/eV/f.u.: 2.6

[10]
VASP calculation (PBE) on a geometry-optimized MgPBr2 structure.

Cell: 3.4719 4.1406 15.3450 Å, 90.00 90.00 90.00°
Last column: nearest neighbours and their distance in Å.
Space group Imm2 (No. 44)
One atom of each set of equivalent atoms:
Mg  0.0000  0.0000  0.0000  2 P 2.72, 4 Br 2.96
P  0.0000  0.5000  0.6360  4 Br 2.71, 2 Mg 2.72
Br  0.0000  0.0000  0.4205  4 Mg 2.96
Br  0.0000  0.5000  0.1508  4 P 2.71

Output
Formation energy (no corrections), eV per atom: -0.28
Energy, eV/cell: -23.0
Magnetic moment, μB/f.u.: 0.000
N(E_F), states/eV/f.u.: 0.9